1.
Compound: Sc4CuTc
Source: Alexandria
Functional: PBE-GGA
Structure: optimized geometry

```
Sc4CuTc
1.0
3.271 0.000 0.000
0.000 3.271 0.000
0.000 0.000 11.340
Sc Cu Tc
4 1 1
direct
0.000 0.000 0.134
0.000 0.000 0.866
0.500 0.500 0.359
0.500 0.500 0.641
0.000 0.000 0.500
0.500 0.500 0.000
```

Computed properties:
* E: -40.8 eV per cell
* energy relative to the elements: -166 meV/atom
* polymorph energy (0 for the lowest one): 0 meV per atom

2.
Compound: ScCuTc2
Source: Alexandria
Functional: PBE-GGA
Structure: optimized geometry

```
ScCuTc2
1.0
3.255 0.000 0.000
0.000 3.255 0.000
0.000 0.000 6.016
Sc Cu Tc
1 1 2
direct
0.000 0.000 0.000
0.000 0.000 0.500
0.500 0.500 0.304
0.500 0.500 0.696
```

Computed properties:
* E: -30.6 eV per cell
* energy relative to the elements: 152 meV/atom
* polymorph energy (0 for the lowest one): 246 meV per atom

3.
Compound: ScCuTc2
Source: Alexandria
Functional: PBE-GGA
Structure: optimized geometry

```
ScCuTc2
1.0
-2.211 2.211 3.104
2.211 -2.211 3.104
2.211 2.211 -3.104
Sc Cu Tc
1 1 2
direct
0.000 0.000 0.000
0.250 0.750 0.500
0.500 0.500 0.000
0.750 0.250 0.500
```

Computed properties:
* E: -31.4 eV per cell
* energy relative to the elements: -68 meV/atom
* polymorph energy (0 for the lowest one): 26 meV per atom

4.
Compound: ScCuTc2
Source: Alexandria
Functional: PBE-GGA
Structure: optimized geometry

```
ScCuTc2
1.0
0.000 3.122 3.122
3.122 0.000 3.122
3.122 3.122 0.000
Sc Cu Tc
1 1 2
direct
0.000 0.000 0.000
0.500 0.500 0.500
0.250 0.250 0.250
0.750 0.750 0.750
```

Computed properties:
* E: -29.8 eV per cell
* energy relative to the elements: 352 meV/atom
* polymorph energy (0 for the lowest one): 446 meV per atom